# PBE-GGA NbFeBr2N, relaxed
data_NbFeBr2N
_chemical_formula_sum 'Nb1 Fe1 Br2 N1'
_symmetry_space_group_name_H-M 'P 1'
_symmetry_Int_Tables_number 1
_cell_length_a 5.204
_cell_length_b 3.402
_cell_length_c 5.204
_cell_angle_alpha 90.00
_cell_angle_beta 90.00
_cell_angle_gamma 90.00
loop_
_symmetry_equiv_pos_as_xyz
'x,y,z'
loop_
_atom_site_label
_atom_site_fract_x
_atom_site_fract_y
_atom_site_fract_z
Br1 0.000 0.000 0.500
Br2 0.500 0.000 0.000
N1 0.000 0.000 0.000
Nb1 0.500 0.500 0.500
Fe1 0.000 0.500 0.000
# Volume, Å³ per cell: 92.1
# Formation energy from raw total energies, eV/atom: 0.9575
# Total moment, μB/f.u.: 4.2
# Energy, eV per atom: -5.0832

***

# PBE-GGA Cs2CaCuI5, relaxed
data_Cs2CaCuI5
_chemical_formula_sum 'Cs4 Ca2 Cu2 I10'
_symmetry_space_group_name_H-M 'P 1'
_symmetry_Int_Tables_number 1
_cell_length_a 4.687
_cell_length_b 11.606
_cell_length_c 15.642
_cell_angle_alpha 90.00
_cell_angle_beta 90.00
_cell_angle_gamma 101.65
loop_
_symmetry_equiv_pos_as_xyz
'x,y,z'
loop_
_atom_site_label
_atom_site_fract_x
_atom_site_fract_y
_atom_site_fract_z
Cs1 0.120 0.240 0.321
I1 0.936 0.873 0.518
Cs2 0.120 0.240 0.693
Cs3 0.880 0.760 0.821
I2 0.308 0.615 0.380
I3 0.064 0.127 0.018
I4 0.510 0.020 0.797
I5 0.663 0.326 0.507
Ca1 0.799 0.598 0.519
Cu1 0.576 0.153 0.932
Cu2 0.424 0.847 0.432
Ca2 0.201 0.402 0.019
I6 0.295 0.590 0.657
I7 0.705 0.410 0.157
I8 0.337 0.674 0.007
Cs4 0.880 0.760 0.193
I9 0.692 0.385 0.880
I10 0.490 0.980 0.297
# Volume, Å³ per cell: 833.3
# Formation energy from raw total energies, eV/atom: -1.2597
# Total moment, μB/f.u.: 0.0
# Energy, eV per atom: -2.9881

***

# PBE-GGA ZrCoP, relaxed
data_ZrCoP
_chemical_formula_sum 'Zr1 Co1 P1'
_symmetry_space_group_name_H-M 'P 1'
_symmetry_Int_Tables_number 1
_cell_length_a 4.522
_cell_length_b 4.522
_cell_length_c 4.522
_cell_angle_alpha 134.13
_cell_angle_beta 134.14
_cell_angle_gamma 66.88
loop_
_symmetry_equiv_pos_as_xyz
'x,y,z'
loop_
_atom_site_label
_atom_site_fract_x
_atom_site_fract_y
_atom_site_fract_z
Zr1 0.664 0.664 0.000
Co1 0.015 0.015 0.000
P1 0.321 0.321 0.000
# Volume, Å³ per cell: 46.9
# Total moment, μB/f.u.: 0.0
# Energy, eV per atom: -7.4196

***

# PBE-GGA Pr3Dy2Tm6Zr, relaxed
data_Pr3Dy2Tm6Zr
_chemical_formula_sum 'Pr3 Dy2 Tm6 Zr1'
_symmetry_space_group_name_H-M 'P 1'
_symmetry_Int_Tables_number 1
_cell_length_a 6.118
_cell_length_b 6.118
_cell_length_c 11.598
_cell_angle_alpha 95.04
_cell_angle_beta 95.04
_cell_angle_gamma 119.96
loop_
_symmetry_equiv_pos_as_xyz
'x,y,z'
loop_
_atom_site_label
_atom_site_fract_x
_atom_site_fract_y
_atom_site_fract_z
Tm1 0.406 0.080 0.241
Tm2 0.754 0.754 0.240
Pr1 0.834 0.166 0.500
Dy1 0.333 0.667 0.000
Pr2 0.166 0.834 0.500
Dy2 0.667 0.333 0.000
Tm3 0.920 0.594 0.759
Tm4 0.246 0.246 0.760
Tm5 0.594 0.920 0.759
Zr1 0.000 0.000 0.000
Pr3 0.500 0.500 0.500
Tm6 0.080 0.406 0.241
# Volume, Å³ per cell: 370.2
# Total moment, μB/f.u.: 0.0
# Energy, eV per atom: -4.8616

***

# PBE-GGA Ca2LuZn, relaxed
data_Ca2LuZn
_chemical_formula_sum 'Ca2 Lu1 Zn1'
_symmetry_space_group_name_H-M 'P 1'
_symmetry_Int_Tables_number 1
_cell_length_a 3.574
_cell_length_b 3.574
_cell_length_c 9.437
_cell_angle_alpha 90.00
_cell_angle_beta 90.00
_cell_angle_gamma 90.00
loop_
_symmetry_equiv_pos_as_xyz
'x,y,z'
loop_
_atom_site_label
_atom_site_fract_x
_atom_site_fract_y
_atom_site_fract_z
Lu1 0.500 0.500 0.500
Zn1 0.500 0.500 0.000
Ca1 0.000 0.000 0.798
Ca2 0.000 0.000 0.202
# Volume, Å³ per cell: 120.5
# Total moment, μB/f.u.: 0.0
# Energy, eV per atom: -2.4590

***

# PBE-GGA SiNiCl2, relaxed
data_SiNiCl2
_chemical_formula_sum 'Si1 Ni1 Cl2'
_symmetry_space_group_name_H-M 'P 1'
_symmetry_Int_Tables_number 1
_cell_length_a 4.574
_cell_length_b 4.574
_cell_length_c 4.569
_cell_angle_alpha 65.42
_cell_angle_beta 65.42
_cell_angle_gamma 99.79
loop_
_symmetry_equiv_pos_as_xyz
'x,y,z'
loop_
_atom_site_label
_atom_site_fract_x
_atom_site_fract_y
_atom_site_fract_z
Si1 0.000 0.500 0.500
Cl1 0.000 0.000 0.000
Ni1 0.500 0.000 0.500
Cl2 0.500 0.500 0.000
# Volume, Å³ per cell: 71.9
# Formation energy from raw total energies, eV/atom: 0.2149
# Total moment, μB/f.u.: 0.0
# Energy, eV per atom: -3.5095